## Pm3Pd4 (PBE)

Data for Pm3Pd4 after structural relaxation.

D(E_F) (states/eV/cell): 6.29
E_tot (eV/atom): -5.840
Energy above the lowest structure with this stoichiometry (meV/atom): 0
Density (g cm⁻³): 9.14
SG: R-3 (148)

Lattice parameters (Å, degrees): 5.840 8.102 8.102 114.42 103.90 103.90
Fractional positions:
Pd 0.500 0.000 0.000
Pd 0.053 0.328 0.493
Pm 0.222 0.126 0.748
Pd 0.947 0.672 0.507
Pm 0.473 0.252 0.378
Pm 0.905 0.378 0.126
Pm 0.778 0.874 0.252
Pd 0.440 0.493 0.164
Pd 0.560 0.507 0.836
Pd 0.000 0.000 0.000
Pd 0.276 0.836 0.328
Pd 0.724 0.164 0.672
Pm 0.527 0.748 0.622
Pm 0.095 0.622 0.874